(1)
Compound: Cs4Ac3SnS8
Source: Alexandria via LeMat-Bulk
Functional: PBE
Structure: relaxed

Geometry as CIF:
```
data_Cs4Ac3SnS8
_chemical_formula_sum 'Cs4 Ac3 Sn1 S8'
_cell_length_a 9.584
_cell_length_b 9.584
_cell_length_c 9.584
_cell_angle_alpha 54.69
_cell_angle_beta 54.69
_cell_angle_gamma 54.69
_symmetry_space_group_name_H-M 'P 1'
_symmetry_Int_Tables_number 1
_symmetry_space_group_name_Hall 'P 1'
loop_
_atom_site_label
_atom_site_fract_x
_atom_site_fract_y
_atom_site_fract_z
_atom_site_occupancy
Cs1 0.000 0.000 0.000 1
Cs2 0.000 0.500 0.500 1
Cs3 0.500 0.000 0.500 1
Cs4 0.500 0.500 0.000 1
Ac1 0.000 0.000 0.500 1
Ac2 0.000 0.500 0.000 1
Ac3 0.500 0.000 0.000 1
Sn1 0.500 0.500 0.500 1
S1 0.232 0.232 0.232 1
S2 0.244 0.722 0.722 1
S3 0.278 0.278 0.756 1
S4 0.278 0.756 0.278 1
S5 0.722 0.244 0.722 1
S6 0.722 0.722 0.244 1
S7 0.756 0.278 0.278 1
S8 0.768 0.768 0.768 1
```

Calculated values
As for the crystal system: trigonal. The space group is R-3m.

---

(2)
Compound: Cs3SrAc2S6
Source: Alexandria via LeMat-Bulk
Functional: PBE
Structure: relaxed

Geometry as CIF:
```
data_Cs3SrAc2S6
_chemical_formula_sum 'Cs3 Sr1 Ac2 S6'
_cell_length_a 7.774
_cell_length_b 7.774
_cell_length_c 8.499
_cell_angle_alpha 98.75
_cell_angle_beta 98.75
_cell_angle_gamma 119.99
_symmetry_space_group_name_H-M 'P 1'
_symmetry_Int_Tables_number 1
_symmetry_space_group_name_Hall 'P 1'
loop_
_atom_site_label
_atom_site_fract_x
_atom_site_fract_y
_atom_site_fract_z
_atom_site_occupancy
Cs1 0.000 0.000 0.000 1
Cs2 0.336 0.664 0.000 1
Cs3 0.664 0.336 0.000 1
Sr1 0.500 0.500 0.500 1
Ac1 0.167 0.833 0.500 1
Ac2 0.833 0.167 0.500 1
S1 0.096 0.435 0.306 1
S2 0.225 0.225 0.692 1
S3 0.435 0.096 0.306 1
S4 0.565 0.904 0.694 1
S5 0.775 0.775 0.308 1
S6 0.904 0.565 0.694 1
```

Calculated values
As for the crystal system: monoclinic. The space group is C2/m.

---

(3)
Compound: Cs4Ac3TaS8
Source: Alexandria via LeMat-Bulk
Functional: PBE
Structure: relaxed

Geometry as CIF:
```
data_Cs4Ac3TaS8
_chemical_formula_sum 'Cs4 Ac3 Ta1 S8'
_cell_length_a 9.511
_cell_length_b 9.511
_cell_length_c 9.511
_cell_angle_alpha 53.60
_cell_angle_beta 53.60
_cell_angle_gamma 53.60
_symmetry_space_group_name_H-M 'P 1'
_symmetry_Int_Tables_number 1
_symmetry_space_group_name_Hall 'P 1'
loop_
_atom_site_label
_atom_site_fract_x
_atom_site_fract_y
_atom_site_fract_z
_atom_site_occupancy
Cs1 0.000 0.000 0.000 1
Cs2 0.000 0.500 0.500 1
Cs3 0.500 0.000 0.500 1
Cs4 0.500 0.500 0.000 1
Ac1 0.000 0.000 0.500 1
Ac2 0.000 0.500 0.000 1
Ac3 0.500 0.000 0.000 1
Ta1 0.500 0.500 0.500 1
S1 0.234 0.234 0.234 1
S2 0.267 0.707 0.707 1
S3 0.293 0.293 0.733 1
S4 0.293 0.733 0.293 1
S5 0.707 0.267 0.707 1
S6 0.707 0.707 0.267 1
S7 0.733 0.293 0.293 1
S8 0.766 0.766 0.766 1
```

Calculated values
As for the crystal system: trigonal. The space group is R-3m.

---

(4)
Compound: Cs2AcTaS4
Source: Alexandria via LeMat-Bulk
Functional: PBE
Structure: relaxed

Geometry as CIF:
```
data_Cs2AcTaS4
_chemical_formula_sum 'Cs2 Ac1 Ta1 S4'
_cell_length_a 7.196
_cell_length_b 7.196
_cell_length_c 7.196
_cell_angle_alpha 113.59
_cell_angle_beta 113.59
_cell_angle_gamma 101.52
_symmetry_space_group_name_H-M 'P 1'
_symmetry_Int_Tables_number 1
_symmetry_space_group_name_Hall 'P 1'
loop_
_atom_site_label
_atom_site_fract_x
_atom_site_fract_y
_atom_site_fract_z
_atom_site_occupancy
Cs1 0.000 0.000 0.000 1
Cs2 0.750 0.250 0.500 1
Ac1 0.250 0.750 0.500 1
Ta1 0.500 0.500 0.000 1
S1 0.270 0.677 0.085 1
S2 0.323 0.408 0.593 1
S3 0.592 0.185 0.915 1
S4 0.815 0.730 0.407 1
```

Calculated values
As for the crystal system: tetragonal. The space group is I-4.

---

(5)
Compound: CsAcTaS4
Source: Alexandria via LeMat-Bulk
Functional: PBE
Structure: relaxed

Geometry as CIF:
```
data_CsAcTaS4
_chemical_formula_sum 'Cs2 Ac2 Ta2 S8'
_cell_length_a 7.097
_cell_length_b 6.823
_cell_length_c 9.716
_cell_angle_alpha 90.00
_cell_angle_beta 106.76
_cell_angle_gamma 90.00
_symmetry_space_group_name_H-M 'P 1'
_symmetry_Int_Tables_number 1
_symmetry_space_group_name_Hall 'P 1'
loop_
_atom_site_label
_atom_site_fract_x
_atom_site_fract_y
_atom_site_fract_z
_atom_site_occupancy
Cs1 0.227 0.250 0.440 1
Cs2 0.773 0.750 0.560 1
Ac1 0.251 0.250 0.945 1
Ac2 0.749 0.750 0.055 1
Ta1 0.276 0.750 0.168 1
Ta2 0.724 0.250 0.832 1
S1 0.089 0.750 0.927 1
S2 0.090 0.750 0.330 1
S3 0.495 0.008 0.202 1
S4 0.495 0.492 0.202 1
S5 0.505 0.508 0.798 1
S6 0.505 0.992 0.798 1
S7 0.910 0.250 0.670 1
S8 0.911 0.250 0.073 1
```

Calculated values
As for the crystal system: monoclinic. The space group is P2_1/m.

---

(6)
Compound: Cs4Ac3TbS8
Source: Alexandria via LeMat-Bulk
Functional: PBE
Structure: relaxed

Geometry as CIF:
```
data_Cs4Ac3TbS8
_chemical_formula_sum 'Cs4 Ac3 Tb1 S8'
_cell_length_a 9.575
_cell_length_b 9.575
_cell_length_c 9.575
_cell_angle_alpha 54.73
_cell_angle_beta 54.73
_cell_angle_gamma 54.73
_symmetry_space_group_name_H-M 'P 1'
_symmetry_Int_Tables_number 1
_symmetry_space_group_name_Hall 'P 1'
loop_
_atom_site_label
_atom_site_fract_x
_atom_site_fract_y
_atom_site_fract_z
_atom_site_occupancy
Cs1 0.000 0.000 0.000 1
Cs2 0.000 0.500 0.500 1
Cs3 0.500 0.000 0.500 1
Cs4 0.500 0.500 0.000 1
Ac1 0.000 0.000 0.500 1
Ac2 0.000 0.500 0.000 1
Ac3 0.500 0.000 0.000 1
Tb1 0.500 0.500 0.500 1
S1 0.231 0.231 0.231 1
S2 0.246 0.721 0.721 1
S3 0.279 0.279 0.754 1
S4 0.279 0.754 0.279 1
S5 0.721 0.246 0.721 1
S6 0.721 0.721 0.246 1
S7 0.754 0.279 0.279 1
S8 0.769 0.769 0.769 1
```

Calculated values
As for the crystal system: trigonal. The space group is R-3m.

---

Number 1: formation energy (no corrections) -24.806 eV per formula unit. Number 2: formation energy (no corrections) -20.018 eV per formula unit. Number 3: formation energy (no corrections) -24.564 eV per formula unit. Number 4: formation energy (no corrections) -9.100 eV per formula unit. Number 5: formation energy (no corrections) -9.958 eV per formula unit. Number 6: formation energy (no corrections) -29.589 eV per formula unit.